Record 1
8
Lattice="4.083 -4.936 0.000 4.083 4.936 0.000 -2.113 0.000 6.046" Properties=species:S:1:pos:R:3 comment="Y5SnBi2 (GGA-PBE, relaxed)" vol_a3_per_cell=243.7 total_energy_ev_per_atom=-6.02 e_form_ev_per_atom=-0.508 pbc="T T T"
Y 0.000 0.000 0.000
Y 0.001 0.000 3.278
Y 2.266 0.000 5.643
Y 5.633 1.986 2.471
Y 5.633 -1.986 2.471
Sn 2.898 0.000 2.376
Bi 4.043 2.578 5.249
Bi 4.043 -2.578 5.249

***

Record 2
4
Lattice="3.281 0.000 0.000 0.000 4.815 0.000 0.000 0.000 4.940" Properties=species:S:1:pos:R:3 comment="CdHg2Ir (GGA-PBE, relaxed)" e_above_lowest_polymorph_mev_per_atom=162.3 vol_a3_per_cell=78.1 total_energy_ev_per_atom=-2.23 e_form_ev_per_atom=0.363 pbc="T T T"
Cd 0.000 0.000 0.000
Hg 0.000 2.408 2.470
Hg 1.641 2.408 0.000
Ir 1.641 0.000 2.470

***

Record 3
4
Lattice="2.300 1.328 8.324 -2.300 1.328 8.324 0.000 -2.656 8.324" Properties=species:S:1:pos:R:3 comment="BaTmBi2 (GGA-PBE, relaxed)" e_above_lowest_polymorph_mev_per_atom=28.3 vol_a3_per_cell=152.5 total_energy_ev_per_atom=-4.25 e_form_ev_per_atom=-0.708 pbc="T T T"
Ba 0.000 0.000 0.000
Tm 0.000 0.000 4.280
Bi 0.000 0.000 14.286
Bi 0.000 0.000 19.148

***

Record 4
10
Lattice="4.067 2.348 10.335 -4.067 2.348 10.335 0.000 -4.696 10.335" Properties=species:S:1:pos:R:3 comment="Cs2I3 (GGA-PBE, relaxed)" vol_a3_per_cell=592.1 total_energy_ev_per_atom=-2.32 pbc="T T T"
Cs 0.000 0.000 4.096
Cs 0.000 0.000 10.347
Cs 0.000 0.000 20.656
Cs 0.000 0.000 26.908
I -2.037 -1.176 13.336
I 0.000 -2.352 17.668
I -2.037 1.176 17.668
I 2.037 -1.176 13.336
I 0.000 2.352 13.336
I 2.037 1.176 17.668

***

Record 5
5
Lattice="5.192 0.000 0.000 0.000 5.192 0.000 0.000 0.000 5.064" Properties=species:S:1:pos:R:3 comment="ZrTiCuI2 (GGA-PBE, relaxed)" vol_a3_per_cell=136.5 total_energy_ev_per_atom=-3.83 pbc="T T T"
Zr 0.000 0.000 0.000
Ti 2.596 2.596 0.000
Cu 0.000 0.000 2.532
I 0.000 2.596 2.532
I 2.596 0.000 2.532

***

Record 6
4
Lattice="0.000 3.361 3.361 3.361 0.000 3.361 3.361 3.361 0.000" Properties=species:S:1:pos:R:3 comment="LiThFeSn (GGA-PBE, relaxed)" vol_a3_per_cell=75.9 total_energy_ev_per_atom=-5.67 e_form_ev_per_atom=-0.215 pbc="T T T"
Li 0.000 0.000 0.000
Th 5.041 5.041 5.041
Fe 3.361 3.361 3.361
Sn 1.680 1.680 1.680

***

Record 7
16
Lattice="3.478 2.008 6.272 -3.478 2.008 6.272 0.000 -4.016 6.272" Properties=species:S:1:pos:R:3 comment="K4Er3NpO8 (GGA-PBE, relaxed)" vol_a3_per_cell=262.9 total_energy_ev_per_atom=-7.05 pbc="T T T"
K 0.000 0.000 0.000
K -1.739 -1.004 6.272
K -1.739 1.004 12.544
K 0.000 2.008 6.272
Er -3.478 0.000 9.408
Er -1.739 1.004 3.136
Er 1.739 1.004 3.136
Np 0.000 0.000 9.408
O -1.769 -1.021 10.573
O 0.000 0.000 4.284
O 0.000 -2.043 8.243
O -1.769 1.021 8.243
O 1.769 -1.021 10.573
O 0.000 2.043 10.573
O 0.000 0.000 14.532
O 1.769 1.021 8.243

***

Record 8
10
Lattice="5.669 0.000 0.000 0.000 5.669 0.000 0.000 0.000 3.965" Properties=species:S:1:pos:R:3 comment="SiNi2Ru2 (GGA-PBE, relaxed)" vol_a3_per_cell=127.4 total_energy_ev_per_atom=-7.05 pbc="T T T"
Si 0.000 0.000 0.000
Si 2.835 2.835 0.000
Ni 0.795 2.040 0.000
Ni 2.040 4.875 0.000
Ni 3.629 0.795 0.000
Ni 4.875 3.629 0.000
Ru 0.940 3.774 1.982
Ru 1.895 0.940 1.982
Ru 3.774 4.729 1.982
Ru 4.729 1.895 1.982